# KHfMnSbO6 (GGA+U, relaxed)
# **Electronic total energy**: -0.53330 Ry/atom
# **Mass density**: 6.172 Mg/m³
data_KHfMnSbO6
_chemical_formula_sum 'K4 Hf4 Mn4 Sb4 O24'
_cell_length_a 8.081
_cell_length_b 8.081
_cell_length_c 8.081
_cell_angle_alpha 90.00
_cell_angle_beta 90.00
_cell_angle_gamma 90.00
_space_group_name_H-M_alt 'F -4 3 m'
_space_group_IT_number 216
_space_group_name_Hall 'F -4 2 3'
loop_
_atom_site_label
_atom_site_type_symbol
_atom_site_fract_x
_atom_site_fract_y
_atom_site_fract_z
K1 K 0.000 0.000 0.000
Hf1 Hf 0.250 0.250 0.750
Mn1 Mn 0.000 0.000 0.500
Sb1 Sb 0.250 0.250 0.250
O1 O 0.005 0.250 0.250